# 1
{"formula": "Y2BIrPb", "functional": "GGA-PBE", "state": "optimized geometry", "cell": [[5.1431, 0.0000, 0.0000], [0.0000, 5.1431, 0.0000], [0.0000, 0.0000, 4.0779]], "species": ["Y", "Y", "B", "Ir", "Pb"], "frac_coords": [[0.0000, 0.5000, 0.0000], [0.5000, 0.0000, 0.0000], [0.0000, 0.0000, 0.0000], [0.0000, 0.0000, 0.5000], [0.5000, 0.5000, 0.5000]], "ef_ev_per_atom": -0.512, "spacegroup": "No. 123"}

# 2
{"formula": "InAgHgI2", "functional": "GGA-PBE", "state": "optimized geometry", "cell": [[5.9182, 0.0000, 0.0000], [0.0000, 5.9182, 0.0000], [0.0000, 0.0000, 5.5094]], "species": ["In", "Ag", "Hg", "I", "I"], "frac_coords": [[0.0000, 0.0000, 0.0000], [0.5000, 0.5000, 0.5000], [0.5000, 0.5000, 0.0000], [0.0000, 0.5000, 0.5000], [0.5000, 0.0000, 0.5000]], "e_above_lowest_polymorph_mev_per_atom": 0, "spacegroup": "No. 123"}

# 3
{"formula": "SrCaRu2", "functional": "GGA-PBE", "state": "optimized geometry", "cell": [[0.0000, 3.4884, 3.4884], [3.4884, 0.0000, 3.4884], [3.4884, 3.4884, 0.0000]], "species": ["Sr", "Ca", "Ru", "Ru"], "frac_coords": [[0.0000, 0.0000, 0.0000], [0.7500, 0.7500, 0.7500], [0.2500, 0.2500, 0.2500], [0.5000, 0.5000, 0.5000]], "ef_ev_per_atom": 0.674, "e_above_lowest_polymorph_mev_per_atom": 370, "spacegroup": "No. 216"}

# 4
{"formula": "ZrIn3", "functional": "GGA-PBE", "state": "optimized geometry", "cell": [[0.0000, 3.6693, 3.6693], [3.6693, 0.0000, 3.6693], [3.6693, 3.6693, 0.0000]], "species": ["Zr", "In", "In", "In"], "frac_coords": [[0.0000, 0.0000, 0.0000], [0.2500, 0.2500, 0.2500], [0.5000, 0.5000, 0.5000], [0.7500, 0.7500, 0.7500]], "ef_ev_per_atom": 0.195, "spacegroup": "No. 225"}